The following is a DFT calculation (PBE) of an optimized crystal structure of AcEr8.

Cell: 7.9612 7.9612 7.9612 Å, 143.12 95.74 95.74°
Closest atoms and distances in Å follow each position.
Positions (direct):
1 Er 0.6630 0.6630 0.0000  11 Er 3.48-3.58, 1 Ac 3.60
2 Ac 0.0000 0.0000 0.0000  12 Er 3.60-3.61
3 Er 0.6630 0.0000 0.6630  11 Er 3.48-3.58, 1 Ac 3.60
4 Er 0.3370 0.3370 0.0000  11 Er 3.48-3.58, 1 Ac 3.60
5 Er 0.0000 0.6711 0.3289  10 Er 3.47-3.65, 2 Ac 3.61
6 Er 0.3422 0.6711 0.6711  10 Er 3.47-3.65, 2 Ac 3.61
7 Er 0.3370 0.0000 0.3370  11 Er 3.48-3.58, 1 Ac 3.60
8 Er 0.0000 0.3289 0.6711  10 Er 3.47-3.65, 2 Ac 3.61
9 Er 0.6578 0.3289 0.3289  10 Er 3.47-3.65, 2 Ac 3.61

Computed properties:
Space group: I4/mmm, No. 139
Energy in eV/atom: -4.4678
Total magnetization in μB per atom: 0.000
Formation energy in eV/atom: 0.0445

The following is a DFT calculation (PBE) of an optimized crystal structure of Ac4Er.

Cell: 4.0650 7.5097 7.5097 Å, 85.80 74.30 74.30°
Closest atoms and distances in Å follow each position.
Positions (direct):
1 Er 0.0000 0.0000 0.0000  8 Ac 3.62
2 Ac 0.5857 0.6342 0.1945  2 Er 3.62, 6 Ac 3.97-3.98
3 Ac 0.7801 0.8055 0.6342  2 Er 3.62, 6 Ac 3.97-3.98
4 Ac 0.4143 0.3658 0.8055  2 Er 3.62, 6 Ac 3.97-3.98
5 Ac 0.2199 0.1945 0.3658  2 Er 3.62, 6 Ac 3.97-3.98

Computed properties:
Space group: I4/m, No. 87
Energy in eV/atom: -4.0997
Offset from the most stable computed form in kJ/mol of atoms: 0.0
Total magnetization in μB per atom: 0.000
Formation energy in eV/atom: 0.0996

The following is a DFT calculation (PBE) of an optimized crystal structure of Ac2Er.

Cell: 3.7670 5.9880 5.9884 Å, 63.21 84.52 84.52°
Closest atoms and distances in Å follow each position.
Positions (direct):
1 Er 0.0000 0.0000 0.5000  8 Ac 3.67-4.06, 2 Er 3.77
2 Ac 0.7071 0.6687 0.1687  4 Er 3.67-4.06, 6 Ac 3.77-3.93
3 Ac 0.2929 0.3313 0.8313  4 Er 3.67-4.06, 6 Ac 3.77-3.93

Computed properties:
Space group: C2/m, No. 12
Energy in eV/atom: -4.1096
Offset from the most stable computed form in kJ/mol of atoms: 8.4
Total magnetization in μB per atom: 0.000
Formation energy in eV/atom: 0.1503

The following is a DFT calculation (PBE) of an optimized crystal structure of Ac13Er3.

Cell: 7.8790 9.2880 9.2880 Å, 94.34 90.00 90.00°
Closest atoms and distances in Å follow each position.
Positions (direct):
1 Er 0.0000 0.2834 0.7166  2 Er 3.76, 10 Ac 3.77-4.02
2 Ac 0.2457 0.4513 0.0351  2 Er 3.77-3.78, 10 Ac 3.82-4.01
3 Ac 0.5000 0.2869 0.7131  8 Ac 3.82-4.06, 4 Er 3.84-3.94
4 Ac 0.5000 0.7222 0.7975  2 Er 3.81, 10 Ac 3.81-4.06
5 Ac 0.5000 0.2025 0.2778  2 Er 3.81, 10 Ac 3.81-4.06
6 Ac 0.7543 0.9649 0.5487  2 Er 3.77-3.78, 10 Ac 3.82-4.01
7 Er 0.7546 0.0463 0.9537  3 Er 3.76-4.01, 9 Ac 3.78-4.00
8 Ac 0.0000 0.7151 0.7972  9 Ac 3.80-3.94, 3 Er 3.83-4.02
9 Ac 0.7520 0.5370 0.4630  11 Ac 3.91-4.03, 1 Er 3.97
10 Ac 0.2480 0.5370 0.4630  11 Ac 3.91-4.03, 1 Er 3.97
11 Ac 0.2457 0.9649 0.5487  2 Er 3.77-3.78, 10 Ac 3.82-4.01
12 Ac 0.5000 0.7926 0.2074  10 Ac 3.81-4.01, 2 Er 4.00
13 Ac 0.0000 0.7957 0.2043  10 Ac 3.80-4.03, 2 Er 3.92
14 Ac 0.7543 0.4513 0.0351  2 Er 3.77-3.78, 10 Ac 3.82-4.01
15 Ac 0.0000 0.2028 0.2849  9 Ac 3.80-3.94, 3 Er 3.83-4.02
16 Er 0.2454 0.0463 0.9537  3 Er 3.76-4.01, 9 Ac 3.78-4.00

Computed properties:
Space group: Amm2, No. 38
Energy in eV/atom: -4.1323
Total magnetization in μB per atom: 0.000
Formation energy in eV/atom: 0.0613

The following is a DFT calculation (PBE) of an optimized crystal structure of Ac3Er2.

Cell: 7.6352 10.2090 10.2090 Å, 90.00 90.00 90.00°
Closest atoms and distances in Å follow each position.
Positions (direct):
1 Ac 0.5000 0.3219 0.3219  6 Er 3.53-3.61, 2 Ac 3.82
2 Ac 0.0000 0.3219 0.3219  6 Er 3.53-3.61, 2 Ac 3.82
3 Ac 0.0000 0.6781 0.6781  6 Er 3.53-3.61, 2 Ac 3.82
4 Er 0.7499 0.1160 0.1160  1 Er 3.35, 6 Ac 3.53-3.61
5 Ac 0.5000 0.8219 0.1781  6 Er 3.53-3.61, 2 Ac 3.82
6 Er 0.2501 0.1160 0.1160  1 Er 3.35, 6 Ac 3.53-3.61
7 Er 0.2499 0.3840 0.6160  1 Er 3.35, 6 Ac 3.53-3.61
8 Ac 0.2500 0.0000 0.5000  10 Ac 3.82-4.21, 4 Er 4.10
9 Ac 0.0000 0.1781 0.8219  6 Er 3.53-3.61, 2 Ac 3.82
10 Er 0.2501 0.8840 0.8840  1 Er 3.35, 6 Ac 3.53-3.61
11 Er 0.7499 0.8840 0.8840  1 Er 3.35, 6 Ac 3.53-3.61
12 Ac 0.7500 0.0000 0.5000  10 Ac 3.82-4.21, 4 Er 4.10
13 Er 0.2499 0.6160 0.3840  1 Er 3.35, 6 Ac 3.53-3.61
14 Er 0.7501 0.3840 0.6160  1 Er 3.35, 6 Ac 3.53-3.61
15 Ac 0.5000 0.6781 0.6781  6 Er 3.53-3.61, 2 Ac 3.82
16 Ac 0.7500 0.5000 0.0000  10 Ac 3.82-4.21, 4 Er 4.10
17 Er 0.7501 0.6160 0.3840  1 Er 3.35, 6 Ac 3.53-3.61
18 Ac 0.5000 0.1781 0.8219  6 Er 3.53-3.61, 2 Ac 3.82
19 Ac 0.0000 0.8219 0.1781  6 Er 3.53-3.61, 2 Ac 3.82
20 Ac 0.2500 0.5000 0.0000  10 Ac 3.82-4.21, 4 Er 4.10

Computed properties:
Space group: P4/mbm, No. 127
Energy in eV/atom: -4.1766
Total magnetization in μB per atom: 0.002
Formation energy in eV/atom: 0.1136

The following is a DFT calculation (PBE) of an optimized crystal structure of AcEr2.

Cell: 3.7069 3.7069 8.0678 Å, 103.28 103.28 90.00°
Closest atoms and distances in Å follow each position.
Positions (direct):
1 Er 0.3264 0.3264 0.6529  8 Er 3.51-3.71, 4 Ac 3.73
2 Er 0.6736 0.6736 0.3471  8 Er 3.51-3.71, 4 Ac 3.73
3 Ac 0.0000 0.0000 0.0000  4 Ac 3.71, 8 Er 3.73

Computed properties:
Space group: I4/mmm, No. 139
Energy in eV/atom: -4.3396
Offset from the most stable computed form in kJ/mol of atoms: 0.0
Total magnetization in μB per atom: 0.000
Formation energy in eV/atom: 0.0717

The following is a DFT calculation (PBE) of an optimized crystal structure of AcEr7.

Cell: 3.5659 8.7615 8.7615 Å, 78.25 78.27 78.27°
Closest atoms and distances in Å follow each position.
Positions (direct):
1 Er 0.0000 0.5000 0.5000  12 Er 3.32-3.57
2 Er 0.3651 0.8611 0.4086  10 Er 3.37-3.57
3 Ac 0.0000 0.0000 0.0000  2 Ac 3.57, 12 Er 3.70-3.93
4 Er 0.3651 0.4086 0.8611  10 Er 3.37-3.57
5 Er 0.7469 0.7529 0.7529  9 Er 3.32-3.57, 2 Ac 3.70
6 Er 0.6349 0.5914 0.1389  10 Er 3.37-3.57
7 Er 0.6349 0.1389 0.5914  10 Er 3.37-3.57
8 Er 0.2531 0.2471 0.2471  9 Er 3.32-3.57, 2 Ac 3.70

Computed properties:
Space group: Immm, No. 71
Energy in eV/atom: -4.4818
Total magnetization in μB per atom: 0.000
Formation energy in eV/atom: 0.0242

The following is a DFT calculation (PBE) of an optimized crystal structure of Ac2Er.

Cell: 7.1123 7.1123 7.1123 Å, 60.00 60.00 60.00°
Closest atoms and distances in Å follow each position.
Positions (direct):
1 Ac 0.1250 0.6250 0.6250  6 Ac 3.56
2 Ac 0.6250 0.6250 0.1250  6 Ac 3.56
3 Ac 0.6250 0.1250 0.6250  6 Ac 3.56
4 Er 0.0000 0.0000 0.0000  12 Ac 4.17, 4 Er 4.36
5 Ac 0.6250 0.6250 0.6250  6 Ac 3.56
6 Er 0.2500 0.2500 0.2500  12 Ac 4.17, 4 Er 4.36

Computed properties:
Space group: Fd-3m, No. 227
Energy in eV/atom: -3.8522
Offset from the most stable computed form in kJ/mol of atoms: 33.3
Total magnetization in μB per atom: 0.000
Formation energy in eV/atom: 0.4077

The highest total magnetization belongs to which entry?
Ac3Er2

What did the eighth record say?
The following is a DFT calculation (PBE) of an optimized crystal structure of Ac2Er.

Cell: 7.1123 7.1123 7.1123 Å, 60.00 60.00 60.00°
Closest atoms and distances in Å follow each position.
Positions (direct):
1 Ac 0.1250 0.6250 0.6250  6 Ac 3.56
2 Ac 0.6250 0.6250 0.1250  6 Ac 3.56
3 Ac 0.6250 0.1250 0.6250  6 Ac 3.56
4 Er 0.0000 0.0000 0.0000  12 Ac 4.17, 4 Er 4.36
5 Ac 0.6250 0.6250 0.6250  6 Ac 3.56
6 Er 0.2500 0.2500 0.2500  12 Ac 4.17, 4 Er 4.36

Computed properties:
Space group: Fd-3m, No. 227
Energy in eV/atom: -3.8522
Offset from the most stable computed form in kJ/mol of atoms: 33.3
Total magnetization in μB per atom: 0.000
Formation energy in eV/atom: 0.4077

The lowest formation energy belongs to which entry?
AcEr7